[1]
Here is a geometry-optimized PmTmAlGa structure from Alexandria. Energies are from PBE.

Computed properties:
Total DFT energy (no corrections)   -4.459 eV per atom
Relative energy among the computed polymorphs   28.2 meV per atom

Lattice parameters (Å, degrees): 5.1139 5.1139 5.1139 60.00 60.00 60.00
Fractional coordinates of all 4 atoms:
Tm (0.5000, 0.5000, 0.5000)
Al (0.7500, 0.7500, 0.7500)
Ga (0.2500, 0.2500, 0.2500)
Pm (0.0000, 0.0000, 0.0000)

[2]
Here is a geometry-optimized PmTmAlGa structure from Alexandria. Energies are from PBE.

Computed properties:
Total DFT energy (no corrections)   -4.488 eV per atom
Relative energy among the computed polymorphs   0.0 meV per atom

Lattice parameters (Å, degrees): 4.4302 4.1031 5.9696 90.00 111.78 90.00
Fractional coordinates of all 4 atoms:
Pm (0.1403, 0.0000, 0.2807)
Tm (0.8598, 0.5000, 0.7196)
Al (0.4263, 0.0000, 0.8527)
Ga (0.5735, 0.5000, 0.1470)

[3]
Here is a geometry-optimized PmYAlGa structure from Alexandria. Energies are from PBE.

Computed properties:
Total DFT energy (no corrections)   -4.978 eV per atom
Relative energy among the computed polymorphs   34.7 meV per atom

Lattice parameters (Å, degrees): 5.1496 5.1496 5.1496 60.00 60.00 60.00
Fractional coordinates of all 4 atoms:
Y (0.7500, 0.7500, 0.7500)
Al (0.5000, 0.5000, 0.5000)
Ga (0.0000, 0.0000, 0.0000)
Pm (0.2500, 0.2500, 0.2500)

[4]
Here is a geometry-optimized PmYAlGa structure from Alexandria. Energies are from PBE.

Computed properties:
Total DFT energy (no corrections)   -5.013 eV per atom
Relative energy among the computed polymorphs   0.0 meV per atom

Lattice parameters (Å, degrees): 4.4582 4.1264 6.0260 90.00 111.71 90.00
Fractional coordinates of all 4 atoms:
Pm (0.8600, 0.5000, 0.7200)
Y (0.1408, 0.0000, 0.2815)
Al (0.5724, 0.5000, 0.1448)
Ga (0.4269, 0.0000, 0.8538)

[5]
Here is a geometry-optimized Pm2Al4ZnGa3 structure from Alexandria. Energies are from PBE.

Computed properties:
Total DFT energy (no corrections)   -3.884 eV per atom

Lattice parameters (Å, degrees): 4.2764 4.2764 10.8318 90.00 90.00 90.00
Fractional coordinates of all 10 atoms:
Pm (0.5000, 0.0000, 0.2555)
Pm (0.0000, 0.5000, 0.7445)
Al (0.5000, 0.5000, 0.0000)
Al (0.0000, 0.0000, 0.0000)
Al (0.5000, 0.0000, 0.6319)
Al (0.0000, 0.5000, 0.3681)
Zn (0.5000, 0.5000, 0.5000)
Ga (0.0000, 0.0000, 0.5000)
Ga (0.5000, 0.0000, 0.8610)
Ga (0.0000, 0.5000, 0.1390)

[6]
Here is a geometry-optimized Pm2AlZn3Ga4 structure from Alexandria. Energies are from PBE.

Computed properties:
Total DFT energy (no corrections)   -3.391 eV per atom

Lattice parameters (Å, degrees): 4.2014 4.2014 10.8649 90.00 90.00 90.00
Fractional coordinates of all 10 atoms:
Pm (0.5000, 0.0000, 0.2480)
Pm (0.0000, 0.5000, 0.7520)
Al (0.5000, 0.5000, 0.5000)
Zn (0.0000, 0.0000, 0.5000)
Zn (0.5000, 0.0000, 0.8647)
Zn (0.0000, 0.5000, 0.1353)
Ga (0.5000, 0.5000, 0.0000)
Ga (0.0000, 0.0000, 0.0000)
Ga (0.5000, 0.0000, 0.6410)
Ga (0.0000, 0.5000, 0.3590)

[7]
Here is a geometry-optimized Pm2AlZn4Ga3 structure from Alexandria. Energies are from PBE.

Computed properties:
Total DFT energy (no corrections)   -3.212 eV per atom

Lattice parameters (Å, degrees): 4.2142 4.2142 10.7057 90.00 90.00 90.00
Fractional coordinates of all 10 atoms:
Pm (0.5000, 0.0000, 0.2482)
Pm (0.0000, 0.5000, 0.7518)
Al (0.5000, 0.5000, 0.5000)
Zn (0.5000, 0.5000, 0.0000)
Zn (0.0000, 0.0000, 0.0000)
Zn (0.5000, 0.0000, 0.6381)
Zn (0.0000, 0.5000, 0.3619)
Ga (0.0000, 0.0000, 0.5000)
Ga (0.5000, 0.0000, 0.8649)
Ga (0.0000, 0.5000, 0.1351)

[8]
Here is a geometry-optimized Pm2Al3ZnGa4 structure from Alexandria. Energies are from PBE.

Computed properties:
Total DFT energy (no corrections)   -3.808 eV per atom

Lattice parameters (Å, degrees): 4.3261 4.3261 10.6467 90.00 90.00 90.00
Fractional coordinates of all 10 atoms:
Pm (0.5000, 0.0000, 0.2473)
Pm (0.0000, 0.5000, 0.7527)
Al (0.0000, 0.0000, 0.5000)
Al (0.5000, 0.0000, 0.8666)
Al (0.0000, 0.5000, 0.1334)
Zn (0.5000, 0.5000, 0.5000)
Ga (0.5000, 0.5000, 0.0000)
Ga (0.0000, 0.0000, 0.0000)
Ga (0.5000, 0.0000, 0.6350)
Ga (0.0000, 0.5000, 0.3650)

[9]
Here is a geometry-optimized PmAlZn2Ga structure from Alexandria. Energies are from PBE.

Computed properties:
Total DFT energy (no corrections)   -3.273 eV per atom

Lattice parameters (Å, degrees): 4.1602 4.1749 6.2272 109.59 109.51 90.00
Fractional coordinates of all 5 atoms:
Pm (0.4396, 0.4396, 0.8793)
Al (0.1906, 0.6906, 0.3811)
Zn (0.6917, 0.1917, 0.3834)
Zn (0.0565, 0.0565, 0.1130)
Ga (0.8337, 0.8337, 0.6674)

[10]
Here is a geometry-optimized Pm3AlZn6Ga2 structure from Alexandria. Energies are from PBE.

Computed properties:
Total DFT energy (no corrections)   -2.845 eV per atom

Lattice parameters (Å, degrees): 5.9616 5.9616 8.2412 90.00 90.00 120.00
Fractional coordinates of all 12 atoms:
Pm (0.3333, 0.6667, 0.6329)
Pm (0.6667, 0.3333, 0.3671)
Pm (0.0000, 0.0000, 0.0000)
Al (0.0000, 0.0000, 0.5000)
Zn (0.6294, 0.8147, 0.2868)
Zn (0.1853, 0.3706, 0.2868)
Zn (0.1853, 0.8147, 0.2868)
Zn (0.8147, 0.6294, 0.7132)
Zn (0.3706, 0.1853, 0.7132)
Zn (0.8147, 0.1853, 0.7132)
Ga (0.6667, 0.3333, 0.9899)
Ga (0.3333, 0.6667, 0.0101)

[11]
Here is a geometry-optimized Pm4AlZn2Ga structure from Alexandria. Energies are from PBE.

Computed properties:
Total DFT energy (no corrections)   -3.939 eV per atom

Lattice parameters (Å, degrees): 5.2066 5.2066 9.0154 73.22 73.22 60.00
Fractional coordinates of all 8 atoms:
Pm (0.3763, 0.3763, 0.8711)
Pm (0.8738, 0.8738, 0.3786)
Pm (0.1262, 0.1262, 0.6214)
Pm (0.6237, 0.6237, 0.1289)
Al (0.0000, 0.0000, 0.0000)
Zn (0.7474, 0.7474, 0.7579)
Zn (0.2526, 0.2526, 0.2421)
Ga (0.5000, 0.5000, 0.5000)

[12]
Here is a geometry-optimized PmZrAlGa structure from Alexandria. Energies are from PBE.

Computed properties:
Total DFT energy (no corrections)   -5.344 eV per atom

Lattice parameters (Å, degrees): 4.9938 4.9938 4.9938 60.00 60.00 60.00
Fractional coordinates of all 4 atoms:
Al (0.7500, 0.7500, 0.7500)
Ga (0.2500, 0.2500, 0.2500)
Zr (0.5000, 0.5000, 0.5000)
Pm (0.0000, 0.0000, 0.0000)

[13]
Here is a geometry-optimized Pr4AlGa3 structure from Alexandria. Energies are from PBE.

Computed properties:
Total DFT energy (no corrections)   -4.515 eV per atom

Lattice parameters (Å, degrees): 4.5141 4.2113 11.4976 90.00 90.00 90.00
Fractional coordinates of all 8 atoms:
Pr (0.5000, 0.5000, 0.3609)
Pr (0.0000, 0.5000, 0.8569)
Pr (0.0000, 0.0000, 0.1447)
Pr (0.5000, 0.0000, 0.6410)
Al (0.5000, 0.5000, 0.0655)
Ga (0.0000, 0.5000, 0.5705)
Ga (0.0000, 0.0000, 0.4318)
Ga (0.5000, 0.0000, 0.9287)

[14]
Here is a geometry-optimized Pr3AlGa2 structure from Alexandria. Energies are from PBE.

Computed properties:
Total DFT energy (no corrections)   -4.498 eV per atom

Lattice parameters (Å, degrees): 3.7352 3.7352 11.2226 90.00 90.00 90.00
Fractional coordinates of all 6 atoms:
Pr (0.0000, 0.0000, 0.0000)
Pr (0.0000, 0.0000, 0.6690)
Pr (0.0000, 0.0000, 0.3310)
Al (0.5000, 0.5000, 0.5000)
Ga (0.5000, 0.5000, 0.8342)
Ga (0.5000, 0.5000, 0.1658)

[15]
Here is a geometry-optimized PrAl2Ga4 structure from Alexandria. Energies are from PBE.

Computed properties:
Total DFT energy (no corrections)   -3.699 eV per atom

Lattice parameters (Å, degrees): 6.0947 6.0947 8.8296 110.19 110.19 90.00
Fractional coordinates of all 14 atoms:
Pr (0.7500, 0.2500, 0.5000)
Pr (0.5000, 0.5000, 0.0000)
Al (0.1250, 0.8750, 0.7500)
Al (0.6250, 0.8750, 0.7500)
Al (0.1250, 0.8750, 0.2500)
Al (0.1250, 0.3750, 0.2500)
Ga (0.9095, 0.7027, 0.4050)
Ga (0.2973, 0.5045, 0.5950)
Ga (0.2977, 0.0905, 0.5950)
Ga (0.7545, 0.0477, 0.0950)
Ga (0.9523, 0.6595, 0.9050)
Ga (0.9527, 0.2455, 0.9050)
Ga (0.4955, 0.7023, 0.4050)
Ga (0.3405, 0.0473, 0.0950)

[16]
Here is a geometry-optimized Pr4AlGa structure from Alexandria. Energies are from PBE.

Computed properties:
Total DFT energy (no corrections)   -4.394 eV per atom
Relative energy among the computed polymorphs   51.6 meV per atom

Lattice parameters (Å, degrees): 3.9511 8.2980 5.8146 90.03 90.00 90.00
Fractional coordinates of all 6 atoms:
Pr (0.5000, 0.7182, 0.0007)
Pr (0.5000, 0.2818, 0.9993)
Pr (0.0000, 0.2126, 0.4993)
Pr (0.0000, 0.7874, 0.5007)
Al (0.5000, 0.5000, 0.5000)
Ga (0.0000, 0.0000, 0.0000)

[17]
Here is a geometry-optimized Pr2AlGa structure from Alexandria. Energies are from PBE.

Computed properties:
Total DFT energy (no corrections)   -4.523 eV per atom

Lattice parameters (Å, degrees): 3.7395 3.7395 7.5076 90.00 90.00 90.00
Fractional coordinates of all 4 atoms:
Pr (0.0000, 0.0000, 0.7532)
Pr (0.0000, 0.0000, 0.2468)
Al (0.5000, 0.5000, 0.5000)
Ga (0.5000, 0.5000, 0.0000)

[18]
Here is a geometry-optimized Pr2AlGa2 structure from Alexandria. Energies are from PBE.

Computed properties:
Total DFT energy (no corrections)   -4.449 eV per atom
Relative energy among the computed polymorphs   0.0 meV per atom

Lattice parameters (Å, degrees): 4.4977 6.0888 9.8413 81.79 76.79 68.32
Fractional coordinates of all 10 atoms:
Pr (0.3160, 0.2671, 0.1008)
Pr (0.4989, 0.3290, 0.6732)
Pr (0.6840, 0.7329, 0.8992)
Pr (0.5011, 0.6710, 0.3268)
Al (0.7856, 0.0818, 0.3469)
Al (0.2144, 0.9182, 0.6531)
Ga (0.9799, 0.1543, 0.8859)
Ga (0.1465, 0.2698, 0.4372)
Ga (0.0201, 0.8457, 0.1141)
Ga (0.8535, 0.7302, 0.5628)

[19]
Here is a geometry-optimized Pr2Al3Ga4 structure from Alexandria. Energies are from PBE.

Computed properties:
Total DFT energy (no corrections)   -4.116 eV per atom

Lattice parameters (Å, degrees): 5.9141 7.9907 8.3662 90.00 110.70 90.00
Fractional coordinates of all 18 atoms:
Pr (0.1129, 0.5866, 0.2258)
Pr (0.8871, 0.4134, 0.7742)
Pr (0.3871, 0.0866, 0.7742)
Pr (0.6129, 0.9134, 0.2258)
Al (0.0000, 0.0000, 0.0000)
Al (0.5000, 0.5000, 0.0000)
Al (0.5310, 0.7500, 0.5621)
Al (0.9690, 0.2500, 0.4379)
Al (0.4690, 0.2500, 0.4379)
Al (0.0310, 0.7500, 0.5621)
Ga (0.6967, 0.7500, 0.8935)
Ga (0.8033, 0.2500, 0.1065)
Ga (0.3033, 0.2500, 0.1065)
Ga (0.1967, 0.7500, 0.8935)
Ga (0.1811, 0.9660, 0.3621)
Ga (0.8189, 0.0340, 0.6379)
Ga (0.3189, 0.4660, 0.6379)
Ga (0.6811, 0.5340, 0.3621)

[20]
Here is a geometry-optimized Pr2Al2Ga structure from Alexandria. Energies are from PBE.

Computed properties:
Total DFT energy (no corrections)   -4.497 eV per atom

Lattice parameters (Å, degrees): 4.3568 6.1601 10.3829 83.24 77.89 69.29
Fractional coordinates of all 10 atoms:
Pr (0.7094, 0.2286, 0.3525)
Pr (0.8916, 0.3148, 0.9019)
Pr (0.2905, 0.7714, 0.6475)
Pr (0.1084, 0.6852, 0.0981)
Al (0.0373, 0.3372, 0.5882)
Al (0.6163, 0.8823, 0.8852)
Al (0.9627, 0.6628, 0.4118)
Al (0.3837, 0.1177, 0.1148)
Ga (0.5649, 0.1838, 0.6864)
Ga (0.4351, 0.8162, 0.3136)

[21]
Here is a geometry-optimized PrAl4Ga2 structure from Alexandria. Energies are from PBE.

Computed properties:
Total DFT energy (no corrections)   -3.943 eV per atom

Lattice parameters (Å, degrees): 4.1786 4.1816 8.0012 105.15 90.00 90.00
Fractional coordinates of all 7 atoms:
Pr (0.0000, 0.0000, 0.0000)
Al (0.5000, 0.8150, 0.6299)
Al (0.0000, 0.6884, 0.3767)
Al (0.5000, 0.1850, 0.3701)
Al (0.0000, 0.3116, 0.6233)
Ga (0.5000, 0.5810, 0.1621)
Ga (0.5000, 0.4190, 0.8379)

[22]
Here is a geometry-optimized Pr3Al3Ga8 structure from Alexandria. Energies are from PBE.

Computed properties:
Total DFT energy (no corrections)   -4.031 eV per atom

Lattice parameters (Å, degrees): 4.2991 8.5484 8.5484 71.81 75.44 75.44
Fractional coordinates of all 14 atoms:
Pr (0.5000, 0.5000, 0.5000)
Pr (0.8171, 0.1829, 0.1829)
Pr (0.1829, 0.8171, 0.8171)
Al (0.5000, 0.0000, 0.0000)
Al (0.0000, 0.7813, 0.2187)
Al (0.0000, 0.2187, 0.7813)
Ga (0.6381, 0.0863, 0.6376)
Ga (0.3619, 0.9137, 0.3624)
Ga (0.6381, 0.6376, 0.0863)
Ga (0.3619, 0.3624, 0.9137)
Ga (0.8345, 0.7955, 0.5355)
Ga (0.1655, 0.2045, 0.4645)
Ga (0.8345, 0.5355, 0.7955)
Ga (0.1655, 0.4645, 0.2045)

[23]
Here is a geometry-optimized Pr3AlGa2 structure from Alexandria. Energies are from PBE.

Computed properties:
Total DFT energy (no corrections)   -4.499 eV per atom

Lattice parameters (Å, degrees): 4.4406 11.8643 12.3801 90.00 90.00 90.00
Fractional coordinates of all 24 atoms:
Pr (0.2500, 0.3822, 0.0616)
Pr (0.7500, 0.6178, 0.9384)
Pr (0.7500, 0.8822, 0.4384)
Pr (0.2500, 0.1178, 0.5616)
Pr (0.2500, 0.6975, 0.2006)
Pr (0.7500, 0.3025, 0.7994)
Pr (0.7500, 0.1975, 0.2994)
Pr (0.2500, 0.8025, 0.7006)
Pr (0.2500, 0.4278, 0.3708)
Pr (0.7500, 0.5722, 0.6292)
Pr (0.7500, 0.9278, 0.1292)
Pr (0.2500, 0.0722, 0.8708)
Al (0.2500, 0.1270, 0.1321)
Al (0.7500, 0.8730, 0.8679)
Al (0.7500, 0.6270, 0.3679)
Al (0.2500, 0.3730, 0.6321)
Ga (0.2500, 0.6794, 0.4729)
Ga (0.7500, 0.3206, 0.5271)
Ga (0.7500, 0.1794, 0.0271)
Ga (0.2500, 0.8206, 0.9729)
Ga (0.2500, 0.0014, 0.3061)
Ga (0.7500, 0.9986, 0.6939)
Ga (0.7500, 0.5014, 0.1939)
Ga (0.2500, 0.4986, 0.8061)

Mass density for the records above, in order: 7.21; 6.77; 5.69; 5.33; 5.64; 6.86; 6.88; 5.96; 6.49; 6.51; 6.72; 6.28; 6.08; 6.25; 5.50; 5.75; 5.99; 6.12; 5.76; 5.29; 4.78; 6.21; 6.00 g/cm³
Calculated formation energy for the records above, in order: -461.5; -489.7; -482.0; -516.7; -401.8; -473.3; -470.1; -397.0; -459.1; -204.3; -399.3; -326.9; -522.7; -475.1; -217.7; -79.4; -440.5; -577.5; -461.0; -482.4; -257.2; -475.7; -476.5 meV/atom